(1)
VASP calculation (GGA-PBEsol) on crystalline Hg2BiSb at its relaxed geometry.

Cell and atoms, written as POSCAR:
```
Hg2BiSb
1.0
6.588 0.000 0.000
0.000 6.588 0.000
-3.294 -3.294 6.322
Sb Hg Bi
2 4 2
Direct
0.500 0.500 0.000 Sb
0.750 0.250 0.500 Sb
0.861 0.375 0.250 Hg
0.125 0.139 0.750 Hg
0.389 0.875 0.250 Hg
0.625 0.611 0.750 Hg
0.000 0.000 0.000 Bi
0.250 0.750 0.500 Bi
```

Values from the calculation:
DFT total energy ... -0.0824 Ha/atom
Total magnetization ... 0.00 μB/cell
SG ... I-42d, No. 122



(2)
VASP calculation (GGA-PBEsol) on crystalline Hg2BiSb2 at its relaxed geometry.

Cell and atoms, written as POSCAR:
```
Hg2BiSb2
1.0
4.167 0.000 0.000
0.000 4.167 0.000
-2.083 -2.083 7.988
Sb Hg Bi
2 2 1
Direct
0.750 0.250 0.500 Sb
0.250 0.750 0.500 Sb
0.593 0.593 0.187 Hg
0.407 0.407 0.813 Hg
0.000 0.000 0.000 Bi
```

Values from the calculation:
DFT total energy ... -0.0981 Ha/atom
Total magnetization ... 0.00 μB/cell
SG ... I4/mmm, No. 139



(3)
VASP calculation (GGA-PBEsol) on crystalline Sc3HgBi at its relaxed geometry.

Cell and atoms, written as POSCAR:
```
Sc3HgBi
1.0
5.339 0.000 0.000
0.000 5.339 0.000
0.000 0.000 5.339
Sc Hg Bi
3 1 1
Direct
0.500 0.000 0.000 Sc
0.000 0.500 0.000 Sc
0.000 0.000 0.500 Sc
0.500 0.500 0.500 Hg
0.000 0.000 0.000 Bi
```

Values from the calculation:
DFT total energy ... -0.1685 Ha/atom
Energy of formation from the pure elements ... 0.35 eV/atom
Total magnetization ... 0.00 μB/cell
SG ... Pm-3m, No. 221



(4)
VASP calculation (GGA-PBEsol) on crystalline Zr2ScHgBi at its relaxed geometry.

Cell and atoms, written as POSCAR:
```
Zr2ScHgBi
1.0
-1.453 1.323 4.865
-5.090 -1.138 -1.210
0.750 -5.054 1.599
Sc Zr Hg Bi
1 2 1 1
Direct
0.500 0.000 0.000 Sc
0.000 0.000 0.500 Zr
0.000 0.500 0.000 Zr
0.500 0.500 0.500 Hg
0.000 0.000 0.000 Bi
```

Values from the calculation:
DFT total energy ... -0.1891 Ha/atom
Energy of formation from the pure elements ... 0.78 eV/atom
Total magnetization ... 0.00 μB/cell
SG ... P4/mmm, No. 123



(5)
VASP calculation (GGA-PBEsol) on crystalline TiHg2BiSe at its relaxed geometry.

Cell and atoms, written as POSCAR:
```
TiHg2BiSe
1.0
5.447 0.000 0.000
0.000 5.484 0.000
0.000 0.000 5.484
Bi Hg Se Ti
1 2 1 1
Direct
0.000 0.000 0.000 Bi
0.000 0.500 0.000 Hg
0.000 0.000 0.500 Hg
0.500 0.500 0.500 Se
0.500 0.000 0.000 Ti
```

Values from the calculation:
DFT total energy ... -0.1013 Ha/atom
Total magnetization ... 1.73 μB/cell
SG ... P4/mmm, No. 123



(6)
VASP calculation (GGA-PBEsol) on crystalline SiHg3Bi at its relaxed geometry.

Cell and atoms, written as POSCAR:
```
SiHg3Bi
1.0
-0.594 -2.890 4.852
-4.844 -2.247 -1.931
2.903 -4.341 -2.230
Hg Bi Si
3 1 1
Direct
0.000 0.500 0.000 Hg
0.000 0.000 0.500 Hg
0.500 0.000 0.000 Hg
0.000 0.000 0.000 Bi
0.500 0.500 0.500 Si
```

Values from the calculation:
DFT total energy ... -0.0513 Ha/atom
Total magnetization ... 1.90 μB/cell
SG ... Pm-3m, No. 221



(7)
VASP calculation (GGA-PBEsol) on crystalline Sn2HgBi at its relaxed geometry.

Cell and atoms, written as POSCAR:
```
Sn2HgBi
1.0
-1.657 -4.559 -2.208
0.263 -4.549 2.764
-4.471 -2.328 1.731
Sn Hg Bi
2 1 1
Direct
0.750 0.750 0.750 Sn
0.250 0.250 0.250 Sn
0.000 0.000 0.000 Hg
0.500 0.500 0.500 Bi
```

Values from the calculation:
DFT total energy ... -0.1212 Ha/atom
Energy of formation from the pure elements ... 0.05 eV/atom
Total magnetization ... 0.00 μB/cell
SG ... Fm-3m, No. 225



(8)
VASP calculation (GGA-PBEsol) on crystalline Sn3HgBi at its relaxed geometry.

Cell and atoms, written as POSCAR:
```
Sn3HgBi
1.0
-1.397 5.289 1.973
-5.530 -1.691 0.618
1.136 -1.727 5.436
Sn Hg Bi
3 1 1
Direct
0.000 0.500 0.000 Sn
0.000 0.000 0.500 Sn
0.500 0.000 0.000 Sn
0.500 0.500 0.500 Hg
0.000 0.000 0.000 Bi
```

Values from the calculation:
DFT total energy ... -0.1001 Ha/atom
Energy of formation from the pure elements ... 0.80 eV/atom
Total magnetization ... 0.00 μB/cell
SG ... Pm-3m, No. 221



(9)
VASP calculation (GGA-PBEsol) on crystalline SrHg2Bi2 at its relaxed geometry.

Cell and atoms, written as POSCAR:
```
SrHg2Bi2
1.0
3.867 0.000 0.000
0.000 8.579 0.000
0.000 0.000 8.579
Hg Bi Sr
4 4 2
Direct
0.000 0.382 0.882 Hg
0.000 0.882 0.618 Hg
0.000 0.618 0.118 Hg
0.000 0.118 0.382 Hg
0.500 0.816 0.316 Bi
0.500 0.316 0.184 Bi
0.500 0.184 0.684 Bi
0.500 0.684 0.816 Bi
0.000 0.500 0.500 Sr
0.000 0.000 0.000 Sr
```

Values from the calculation:
DFT total energy ... -0.0970 Ha/atom
Energy of formation from the pure elements ... -0.33 eV/atom
Total magnetization ... 0.00 μB/cell
SG ... P4/mbm, No. 127



(10)
VASP calculation (GGA-PBEsol) on crystalline Sr2Hg2Bi at its relaxed geometry.

Cell and atoms, written as POSCAR:
```
Sr2Hg2Bi
1.0
4.595 0.000 0.000
0.000 8.187 0.000
0.000 0.000 8.187
Sr Bi Hg
4 2 4
Direct
0.500 0.821 0.321 Sr
0.500 0.321 0.179 Sr
0.500 0.179 0.679 Sr
0.500 0.679 0.821 Sr
0.000 0.500 0.500 Bi
0.000 0.000 0.000 Bi
0.000 0.123 0.377 Hg
0.000 0.377 0.877 Hg
0.000 0.623 0.123 Hg
0.000 0.877 0.623 Hg
```

Values from the calculation:
DFT total energy ... -0.0896 Ha/atom
Energy of formation from the pure elements ... -0.62 eV/atom
Total magnetization ... 0.00 μB/cell
SG ... P4/mbm, No. 127



(11)
VASP calculation (GGA-PBEsol) on crystalline Sr2HgBi at its relaxed geometry.

Cell and atoms, written as POSCAR:
```
Sr2HgBi
1.0
5.680 0.000 0.000
2.840 4.919 0.000
2.840 1.640 4.638
Sr Hg Bi
2 1 1
Direct
0.250 0.250 0.250 Sr
0.750 0.750 0.750 Sr
0.000 0.000 0.000 Hg
0.500 0.500 0.500 Bi
```

Values from the calculation:
DFT total energy ... -0.1056 Ha/atom
Energy of formation from the pure elements ... -0.74 eV/atom
Total magnetization ... 0.00 μB/cell
SG ... Fm-3m, No. 225



(12)
VASP calculation (GGA-PBEsol) on crystalline Sr2HgBi2 at its relaxed geometry.

Cell and atoms, written as POSCAR:
```
Sr2HgBi2
1.0
-3.361 3.011 -1.395
-5.909 -5.316 2.762
0.191 3.711 7.550
Sr Hg Bi
4 2 4
Direct
0.500 0.325 0.175 Sr
0.500 0.825 0.325 Sr
0.500 0.675 0.825 Sr
0.500 0.175 0.675 Sr
0.000 0.000 0.000 Hg
0.000 0.500 0.500 Hg
0.000 0.127 0.373 Bi
0.000 0.873 0.627 Bi
0.000 0.627 0.127 Bi
0.000 0.373 0.873 Bi
```

Values from the calculation:
DFT total energy ... -0.1175 Ha/atom
Energy of formation from the pure elements ... -0.63 eV/atom
Total magnetization ... 0.00 μB/cell
SG ... P4/mbm, No. 127



Look up the total magnetization of the eighth one. 0.00 μB/cell